Compound: Li4Fe3TeO8
Source: Alexandria
Functional: GGA+U
Structure: optimized geometry

Output
**Polymorph energy (0 for the lowest one)**: 33 meV per atom
**Total moment**: 0.87 μB per atom
**Uncorrected energy**: -5.7772 eV per atom

Cell lengths 4.9995, 5.9852, 6.6550 Å; angles 93.36, 90.29, 91.18 degrees
Fractional coordinates of all 16 atoms:
Li 0.0000 0.0000 0.0000
Li 0.0008 0.5075 0.7650
Li 0.3971 0.6596 0.5133
Li 0.4705 0.1863 0.2347
Fe 0.0063 0.5096 0.2426
Fe 0.4593 0.1867 0.7744
Fe 0.4993 0.6842 0.0017
Te 0.9294 0.9997 0.4879
O 0.3141 0.0278 0.4922
O 0.3905 0.5170 0.2305
O 0.3961 0.9853 0.9953
O 0.4073 0.5125 0.7641
O 0.8882 0.6769 0.0254
O 0.8971 0.2055 0.2438
O 0.8989 0.1647 0.7490
O 0.9713 0.6531 0.5072